[1]
Here is a relaxed structure of Y2B3C from Alexandria. Energies are from GGA-PBE.

For the energy, the calculation gives -7.4802 eV per atom. The calculation puts the formation enthalpy at 0 K at -43.4 kJ per mole of atoms. The symmetry is Pmm2, No. 25.

a = 3.9229 Å, b = 3.1705 Å, c = 5.4941 Å
α = 90.00°, β = 90.00°, γ = 90.00°
Last column: nearest neighbours and their distance in Å.
Element x y z (fractional)
B: 0.5000 0.5000 0.6601  1 C 1.76, 2 B 1.84
B: 0.5000 0.0000 0.8285  3 B 1.84-1.88
B: 0.5000 0.0000 0.1711  2 C 1.84, 1 B 1.88
Y: 0.0000 0.5000 0.0040  10 B 2.68-2.72, 2 C 2.69
Y: 0.0000 0.0000 0.4966  8 B 2.65-2.68, 4 C 2.67
C: 0.5000 0.5000 0.3397  3 B 1.76-1.84

[2]
Here is a relaxed structure of Tb2NiIr from Alexandria. Energies are from GGA-PBE.

For the energy, the calculation gives -6.5782 eV per atom. The calculation puts the formation enthalpy at 0 K at -58.1 kJ per mole of atoms. The symmetry is P4/mmm, No. 123.

a = 3.4839 Å, b = 4.7981 Å, c = 4.7981 Å
α = 90.00°, β = 90.00°, γ = 90.00°
Last column: nearest neighbours and their distance in Å.
Element x y z (fractional)
Ir: 0.5000 0.5000 0.5000  8 Tb 2.96
Tb: 0.0000 0.0000 0.5000  4 Ni 2.96, 4 Ir 2.96
Tb: 0.0000 0.5000 0.0000  4 Ir 2.96, 4 Ni 2.96
Ni: 0.5000 0.0000 0.0000  8 Tb 2.96

[3]
Here is a relaxed structure of Sm2DyEr from Alexandria. Energies are from GGA-PBE.

For the energy, the calculation gives -4.6355 eV per atom. The calculation puts the formation enthalpy at 0 K at 1.5 kJ per mole of atoms. The symmetry is R-3m, No. 166.

a = 3.5773 Å, b = 3.5773 Å, c = 11.8019 Å
α = 81.28°, β = 81.28°, γ = 60.00°
Last column: nearest neighbours and their distance in Å.
Element x y z (fractional)
Sm: 0.2504 0.2504 0.2489  3 Er 3.55, 3 Dy 3.57, 6 Sm 3.58
Sm: 0.7496 0.7496 0.7511  3 Er 3.55, 3 Dy 3.57, 6 Sm 3.58
Dy: 0.5000 0.5000 0.5000  6 Sm 3.57, 6 Dy 3.58
Er: 0.0000 0.0000 0.0000  6 Sm 3.55, 6 Er 3.58

[4]
Here is a relaxed structure of Sm2Cd2Pd3 from Alexandria. Energies are from GGA-PBE.

For the energy, the calculation gives -4.4640 eV per atom. The calculation puts the formation enthalpy at 0 K at -60.7 kJ per mole of atoms. The symmetry is R-3m, No. 166.

a = 4.9597 Å, b = 4.9609 Å, c = 7.8514 Å
α = 90.06°, β = 108.40°, γ = 119.99°
Last column: nearest neighbours and their distance in Å.
Element x y z (fractional)
Sm: 0.2218 0.6107 0.8329  7 Pd 2.90-3.11
Sm: 0.7782 0.3893 0.1671  7 Pd 2.90-3.11
Cd: 0.7388 0.8689 0.6086  2 Pd 2.74-2.86
Cd: 0.2612 0.1311 0.3914  2 Pd 2.74-2.86
Pd: 0.4891 0.7450 0.2333  1 Cd 2.74, 4 Sm 2.90-2.93
Pd: 0.0000 0.0000 0.0000  2 Cd 2.86, 6 Sm 3.11
Pd: 0.5109 0.2550 0.7667  1 Cd 2.74, 4 Sm 2.90-2.93

[5]
Here is a relaxed structure of KTl2O2 from Alexandria. Energies are from GGA-PBE.

For the formation energy (no corrections), the calculation gives -0.828 eV/atom. For the energy, the calculation gives -3.9771 eV per atom. The symmetry is R-3m, No. 166.

a = 3.6517 Å, b = 3.6517 Å, c = 9.0316 Å
α = 78.34°, β = 78.34°, γ = 60.00°
Last column: nearest neighbours and their distance in Å.
Element x y z (fractional)
Tl: 0.2180 0.2180 0.3460  3 O 2.42
Tl: 0.7820 0.7820 0.6540  3 O 2.42
K: 0.0000 0.0000 0.0000  6 O 2.81
O: 0.5962 0.5962 0.2115  3 Tl 2.42
O: 0.4038 0.4038 0.7885  3 Tl 2.42

[6]
Here is a relaxed structure of MgAlGa2 from Alexandria. Energies are from GGA-PBE.

For the energy, the calculation gives -2.8641 eV per atom. The calculation puts the formation enthalpy at 0 K at -1.6 kJ per mole of atoms. The symmetry is Fm-3m, No. 225.

a = 4.7276 Å, b = 4.7276 Å, c = 4.7276 Å
α = 60.00°, β = 60.00°, γ = 60.00°
Last column: nearest neighbours and their distance in Å.
Element x y z (fractional)
Ga: 0.2500 0.2500 0.2500  4 Mg 2.90, 4 Al 2.90
Ga: 0.7500 0.7500 0.7500  4 Al 2.90, 4 Mg 2.90
Al: 0.5000 0.5000 0.5000  8 Ga 2.90
Mg: 0.0000 0.0000 0.0000  8 Ga 2.90

[7]
Here is a relaxed structure of MnS from Alexandria. Energies are from GGA-PBE.

For the formation energy (no corrections), the calculation gives -0.486 eV/atom. For the energy, the calculation gives -7.1344 eV per atom. The symmetry is P6_3mc, No. 186.

a = 4.0007 Å, b = 4.0007 Å, c = 12.9924 Å
α = 90.00°, β = 90.00°, γ = 120.00°
Last column: nearest neighbours and their distance in Å.
Element x y z (fractional)
Mn: 0.3333 0.6667 0.2502  4 S 2.44-2.45
Mn: 0.0000 0.0000 0.0007  4 S 2.44-2.45
Mn: 0.6667 0.3333 0.7502  4 S 2.44-2.45
Mn: 0.0000 0.0000 0.5007  4 S 2.44-2.45
S: 0.0000 0.0000 0.8121  4 Mn 2.45
S: 0.3333 0.6667 0.0621  4 Mn 2.44
S: 0.6667 0.3333 0.5621  4 Mn 2.44
S: 0.0000 0.0000 0.3121  4 Mn 2.45

[8]
Here is a relaxed structure of Tb4InHg2Au from Alexandria. Energies are from GGA-PBE.

For the energy, the calculation gives -3.7060 eV per atom. The calculation puts the formation enthalpy at 0 K at -54.4 kJ per mole of atoms. The symmetry is R-3m, No. 166.

a = 5.2635 Å, b = 5.2635 Å, c = 9.0789 Å
α = 73.15°, β = 73.15°, γ = 60.00°
Last column: nearest neighbours and their distance in Å.
Element x y z (fractional)
Tb: 0.8704 0.8704 0.3890  3 Au 3.18, 4 Hg 3.23-3.32, 1 In 3.33
Tb: 0.6194 0.6194 0.1419  1 Au 3.06, 4 Hg 3.14-3.22, 3 In 3.27
Tb: 0.1296 0.1296 0.6110  3 Au 3.18, 4 Hg 3.23-3.32, 1 In 3.33
Tb: 0.3806 0.3806 0.8581  1 Au 3.06, 4 Hg 3.14-3.22, 3 In 3.27
Hg: 0.2553 0.2553 0.2340  8 Tb 3.14-3.32
Hg: 0.7447 0.7447 0.7660  8 Tb 3.14-3.32
In: 0.0000 0.0000 0.0000  8 Tb 3.27-3.33, 6 Hg 3.64
Au: 0.5000 0.5000 0.5000  8 Tb 3.06-3.18